This record from Alexandria via LeMat-Bulk describes crystalline CsKCeF6 at its relaxed geometry. The functional is PBE.

Calculated values
- Spin magnetization: 0.00 μB/f.u.
- Total DFT energy (no corrections): -5.516 eV/atom
- Symmetry: P-31c, No. 163

Cell and atoms, written as extended XYZ:
```
18
Lattice="6.8176 0.0000 0.0000 -3.4088 5.9042 0.0000 0.0000 0.0000 10.7639" Properties=species:S:1:pos:R:3 pbc="T T T"
Cs 0.0000 0.0000 0.0000
Cs 0.0000 0.0000 5.3819
K 0.0000 3.9361 2.6910
K 3.4088 1.9681 8.0729
Ce 0.0000 3.9361 8.0729
Ce 3.4088 1.9681 2.6910
F -0.9897 2.3806 6.9154
F -1.8420 3.8568 9.2304
F 0.9897 2.3806 9.2304
F -0.8523 5.5710 6.9154
F 2.5565 0.3332 1.5335
F 1.5668 2.0474 3.8485
F 1.8420 3.8568 6.9154
F 0.8523 5.5710 9.2304
F 4.2611 0.3332 3.8485
F 2.4191 3.5236 1.5335
F 5.2508 2.0474 1.5335
F 4.3984 3.5236 3.8485
```

***

This record from Alexandria via LeMat-Bulk describes crystalline CsK2CeF6 at its relaxed geometry. The functional is PBE.

Calculated values
- Spin magnetization: 1.00 μB/f.u.
- Total DFT energy (no corrections): -5.280 eV/atom
- Symmetry: R3, No. 146

Cell and atoms, written as extended XYZ:
```
10
Lattice="3.3852 1.9544 5.8658 -3.3852 1.9544 5.8658 0.0000 -3.9088 5.8658" Properties=species:S:1:pos:R:3 pbc="T T T"
Cs 0.0000 0.0000 0.0000
K 0.0000 0.0000 4.7891
K 0.0000 0.0000 13.7781
Ce 0.0000 0.0000 8.5070
F -1.0098 -1.4142 6.9702
F -2.0552 -0.1230 9.5714
F -0.7199 1.5816 6.9702
F 1.1341 -1.7184 9.5714
F 1.7297 -0.1674 6.9702
F 0.9211 1.8414 9.5714
```

***

This record from Alexandria via LeMat-Bulk describes crystalline CsLiCeF6 at its relaxed geometry. The functional is PBE.

Calculated values
- Spin magnetization: 0.00 μB/f.u.
- Total DFT energy (no corrections): -5.543 eV/atom
- Symmetry: Imma, No. 74

Cell and atoms, written as extended XYZ:
```
18
Lattice="-3.6677 4.0024 5.2111 3.6677 -4.0024 5.2111 3.6677 4.0024 -5.2111" Properties=species:S:1:pos:R:3 pbc="T T T"
Cs 0.0000 2.0012 0.9528
Cs 3.6677 2.0012 4.2583
Li 1.8338 2.0012 -2.6056
Li 1.8338 -2.0012 2.6056
Ce 3.6677 0.0000 0.0000
Ce 0.0000 0.0000 5.2111
F 1.8618 -0.3062 1.2479
F 5.4736 -0.3062 1.2479
F 3.6677 2.0012 -1.4605
F 1.8618 3.6962 -1.2479
F 1.8059 -0.3062 3.9632
F 3.6677 2.0012 1.1922
F 0.0000 2.0012 4.0189
F 1.8618 4.3086 1.2479
F 1.8059 0.3062 6.4590
F 0.0000 2.0012 6.6716
F -1.8059 4.3086 3.9632
F 1.8059 4.3086 3.9632
```

***

This record from Alexandria via LeMat-Bulk describes crystalline Cs2LiCeF6 at its relaxed geometry. The functional is PBE.

Calculated values
- Spin magnetization: 1.00 μB/f.u.
- Total DFT energy (no corrections): -5.335 eV/atom
- Symmetry: Fm-3m, No. 225

Cell and atoms, written as extended XYZ:
```
10
Lattice="0.0000 4.5400 4.5400 4.5400 0.0000 4.5400 4.5400 4.5400 0.0000" Properties=species:S:1:pos:R:3 pbc="T T T"
Cs 2.2700 2.2700 2.2700
Cs 6.8099 6.8099 6.8099
Li 0.0000 0.0000 0.0000
Ce 4.5400 4.5400 4.5400
F 4.5400 4.5400 2.2271
F 4.5400 2.2271 4.5400
F 6.8528 4.5400 4.5400
F 2.2271 4.5400 4.5400
F 4.5400 6.8528 4.5400
F 4.5400 4.5400 6.8528
```

***

This record from Alexandria via LeMat-Bulk describes crystalline CsLiCe2F8 at its relaxed geometry. The functional is PBE.

Calculated values
- Spin magnetization: 2.00 μB/f.u.
- Total DFT energy (no corrections): -6.028 eV/atom
- Symmetry: P-1, No. 2

Cell and atoms, written as extended XYZ:
```
12
Lattice="4.4795 0.0000 0.0000 -0.1428 6.7168 0.0000 -0.4224 -1.0613 7.6743" Properties=species:S:1:pos:R:3 pbc="T T T"
Cs 0.0000 0.0000 0.0000
Li -0.2112 -0.5307 3.8371
Ce 1.5472 2.3333 5.6731
Ce 2.3671 3.3221 2.0012
F 0.1300 2.6093 1.7873
F 0.3400 0.3917 5.2532
F 1.4713 4.0999 4.0963
F 1.9652 4.6785 0.0579
F 1.9491 0.9770 7.6164
F 2.4430 1.5556 3.5780
F 3.5743 5.2637 2.4211
F 3.7843 3.0462 5.8870
```

***

This record from Alexandria via LeMat-Bulk describes crystalline Cs3Li2CeF9 at its relaxed geometry. The functional is PBE.

Calculated values
- Spin magnetization: 0.15 μB/f.u.
- Total DFT energy (no corrections): -5.074 eV/atom
- Symmetry: P-3m1, No. 164

Cell and atoms, written as extended XYZ:
```
15
Lattice="6.3166 0.0000 0.0000 -3.1583 5.4703 0.0000 0.0000 0.0000 8.3834" Properties=species:S:1:pos:R:3 pbc="T T T"
Cs 0.0000 0.0000 0.0000
Cs 0.0000 3.6469 5.8628
Cs 3.1583 1.8234 2.5206
Li 0.0000 3.6469 0.6587
Li 3.1583 1.8234 7.7247
Ce 0.0000 0.0000 4.1917
F -1.5791 2.7352 0.0000
F 0.0000 1.7485 2.9045
F -1.6440 4.5961 2.9045
F 1.5142 0.8742 5.4789
F 3.1583 0.0000 0.0000
F 1.5791 2.7352 0.0000
F 1.6440 4.5961 2.9045
F 4.8023 0.8742 5.4789
F 3.1583 3.7218 5.4789
```

***

This record from Alexandria via LeMat-Bulk describes crystalline CsCeMg2F8 at its relaxed geometry. The functional is PBE.

Calculated values
- Spin magnetization: 1.00 μB/f.u.
- Total DFT energy (no corrections): -5.519 eV/atom
- Symmetry: R-3, No. 148

Cell and atoms, written as extended XYZ:
```
12
Lattice="2.8681 1.6559 8.0621 -2.8681 1.6559 8.0621 0.0000 -3.3118 8.0621" Properties=species:S:1:pos:R:3 pbc="T T T"
Cs 0.0000 0.0000 0.0000
Ce 0.0000 0.0000 12.0931
Mg 0.0000 0.0000 6.1081
Mg 0.0000 0.0000 18.0781
F -1.1210 -1.5409 10.7708
F -1.8949 0.2003 13.4154
F 0.0000 0.0000 7.9438
F -0.7740 1.7412 10.7707
F 0.7740 -1.7412 13.4154
F 0.0000 0.0000 16.2424
F 1.8949 -0.2003 10.7707
F 1.1210 1.5409 13.4154
```

***

This record from Alexandria via LeMat-Bulk describes crystalline Cs2CeMgF6 at its relaxed geometry. The functional is PBE.

Calculated values
- Spin magnetization: 1.96 μB/f.u.
- Total DFT energy (no corrections): -5.134 eV/atom
- Symmetry: Immm, No. 71

Cell and atoms, written as extended XYZ:
```
10
Lattice="-3.1325 3.3323 4.4967 3.1325 -3.3323 4.4967 3.1325 3.3323 -4.4967" Properties=species:S:1:pos:R:3 pbc="T T T"
Cs 0.0000 0.0000 2.2393
Cs 0.0000 0.0000 6.7542
Ce 0.0000 3.3323 0.0000
Mg 3.1325 0.0000 0.0000
F 1.6451 1.4338 0.0000
F 4.6199 1.4338 0.0000
F 3.1325 0.0000 2.0792
F 0.0000 3.3323 2.4176
F -1.4874 1.8985 4.4967
F 1.4874 1.8985 4.4967
```

***

This record from Alexandria via LeMat-Bulk describes crystalline CsNaCeF6 at its relaxed geometry. The functional is PBE.

Calculated values
- Spin magnetization: 0.00 μB/f.u.
- Total DFT energy (no corrections): -5.521 eV/atom
- Symmetry: P-31c, No. 163

Cell and atoms, written as extended XYZ:
```
18
Lattice="6.1882 0.0000 0.0000 -3.0941 5.3591 0.0000 0.0000 0.0000 12.2917" Properties=species:S:1:pos:R:3 pbc="T T T"
Cs 0.0000 0.0000 0.0000
Cs 0.0000 0.0000 6.1459
Na 0.0000 3.5728 3.0729
Na 3.0941 1.7864 9.2188
Ce 0.0000 3.5728 9.2188
Ce 3.0941 1.7864 3.0729
F -1.0772 2.1013 8.0285
F -1.8129 3.3756 10.4091
F 1.0772 2.1013 10.4091
F -0.7357 5.2413 8.0285
F 2.3584 0.1178 1.8827
F 1.2812 1.9835 4.2632
F 1.8129 3.3756 8.0285
F 0.7357 5.2413 10.4091
F 3.8298 0.1178 4.2632
F 2.0169 3.2578 1.8827
F 4.9070 1.9835 1.8827
F 4.1713 3.2578 4.2632
```

***

This record from Alexandria via LeMat-Bulk describes crystalline CsNa2CeF6 at its relaxed geometry. The functional is PBE.

Calculated values
- Spin magnetization: 1.00 μB/f.u.
- Total DFT energy (no corrections): -5.284 eV/atom
- Symmetry: R3, No. 146

Cell and atoms, written as extended XYZ:
```
10
Lattice="3.1295 1.8068 5.4703 -3.1295 1.8068 5.4703 0.0000 -3.6136 5.4703" Properties=species:S:1:pos:R:3 pbc="T T T"
Cs 0.0000 0.0000 0.0000
Na 0.0000 0.0000 3.7388
Na 0.0000 0.0000 12.1092
Ce 0.0000 0.0000 8.6747
F -2.1534 -0.0280 7.8096
F -0.2949 -1.6312 10.2963
F 1.1009 -1.8509 7.8096
F -1.2652 1.0709 10.2963
F 1.0525 1.8789 7.8096
F 1.5601 0.5602 10.2963
```

***

Number 1: volume 433.3 Å³/cell. Number 2: volume 232.9 Å³/cell. Number 3: volume 306.0 Å³/cell. Number 4: volume 187.1 Å³/cell. Number 5: volume 230.9 Å³/cell. Number 6: volume 289.7 Å³/cell. Number 7: volume 229.7 Å³/cell. Number 8: volume 187.8 Å³/cell. Number 9: volume 407.6 Å³/cell. Number 10: volume 185.6 Å³/cell.